Entry 1:
Density functional theory data (GGA-PBE) for a relaxed LaMgTl2H crystal.

```
data_LaMgTl2H
_cell_length_a 5.058
_cell_length_b 5.058
_cell_length_c 4.575
_cell_angle_alpha 90.00
_cell_angle_beta 90.00
_cell_angle_gamma 90.00
_space_group_name_H-M_alt 'P 4/m m m'
_space_group_IT_number 123
_space_group_name_Hall '-P 4 2'
loop_
_atom_site_label
_atom_site_fract_x
_atom_site_fract_y
_atom_site_fract_z
La1 0.000 0.000 0.000
Mg1 0.500 0.500 0.000
Tl1 0.000 0.500 0.500
H1 0.000 0.000 0.500
```

Results
crystal system: tetragonal
N(E_F): 2.53 states/eV/cell
VASP energy: -3.112 eV/atom
total magnetization: 0.00 μB per cell

***

Entry 2:
Density functional theory data (GGA-PBE) for a relaxed Li2TlAg2 crystal.

```
data_Li2TlAg2
_cell_length_a 3.242
_cell_length_b 4.662
_cell_length_c 24.975
_cell_angle_alpha 90.00
_cell_angle_beta 90.00
_cell_angle_gamma 90.00
_space_group_name_H-M_alt 'I m m a'
_space_group_IT_number 74
_space_group_name_Hall '-I 2b 2'
loop_
_atom_site_label
_atom_site_fract_x
_atom_site_fract_y
_atom_site_fract_z
Li1 0.000 0.250 0.022
Li2 0.000 0.250 0.123
Tl1 0.000 0.250 0.581
Ag1 0.000 0.250 0.295
Ag2 0.000 0.250 0.804
```

Results
ΔH_f (0 K): -0.0583 eV/atom
crystal system: orthorhombic
N(E_F): 6.50 states/eV/cell
VASP energy: -2.438 eV/atom
total magnetization: 0.00 μB per cell

***

Entry 3:
Density functional theory data (GGA-PBE) for a relaxed RbNpCl3 crystal.

```
data_RbNpCl3
_cell_length_a 7.978
_cell_length_b 13.819
_cell_length_c 5.871
_cell_angle_alpha 90.00
_cell_angle_beta 90.00
_cell_angle_gamma 90.00
_space_group_name_H-M_alt 'C m c m'
_space_group_IT_number 63
_space_group_name_Hall '-C 2c 2'
loop_
_atom_site_label
_atom_site_fract_x
_atom_site_fract_y
_atom_site_fract_z
Rb1 0.000 0.166 0.250
Np1 0.000 0.500 0.000
Cl1 0.000 0.323 0.750
Cl2 0.234 0.088 0.750
```

Results
crystal system: orthorhombic
N(E_F): 26.97 states/eV/cell
energy relative to the elements, uncorrected: -1.59 eV per atom
VASP energy: -5.479 eV/atom
total magnetization: 20.02 μB per cell

***

Entry 4:
Density functional theory data (GGA-PBE) for a relaxed Mn2PdPt2 crystal.

```
data_Mn2PdPt2
_cell_length_a 3.909
_cell_length_b 6.391
_cell_length_c 6.491
_cell_angle_alpha 90.00
_cell_angle_beta 90.00
_cell_angle_gamma 90.00
_space_group_name_H-M_alt 'I m m m'
_space_group_IT_number 71
_space_group_name_Hall '-I 2 2'
loop_
_atom_site_label
_atom_site_fract_x
_atom_site_fract_y
_atom_site_fract_z
Mn1 0.000 0.214 0.000
Pd1 0.000 0.000 0.500
Pt1 0.000 0.500 0.297
```

Results
ΔH_f (0 K): -0.0877 eV/atom
crystal system: orthorhombic
N(E_F): 7.45 states/eV/cell
VASP energy: -7.210 eV/atom
total magnetization: 17.20 μB per cell

***

Entry 5:
Density functional theory data (GGA-PBE) for a relaxed Al2MoOs crystal.

```
data_Al2MoOs
_cell_length_a 2.864
_cell_length_b 4.320
_cell_length_c 5.072
_cell_angle_alpha 90.00
_cell_angle_beta 105.62
_cell_angle_gamma 90.00
_space_group_name_H-M_alt 'P 1 m 1'
_space_group_IT_number 6
_space_group_name_Hall 'P -2y'
loop_
_atom_site_label
_atom_site_fract_x
_atom_site_fract_y
_atom_site_fract_z
Al1 0.000 0.000 0.000
Al2 0.392 0.500 0.795
Mo1 0.672 0.500 0.317
Os1 0.277 0.000 0.531
```

Results
ΔH_f (0 K): -0.1251 eV/atom
crystal system: monoclinic
N(E_F): 1.93 states/eV/cell
VASP energy: -7.512 eV/atom
total magnetization: 0.00 μB per cell

***

Entry 6:
Density functional theory data (GGA-PBE) for a relaxed InF5 crystal.

```
data_InF5
_cell_length_a 11.475
_cell_length_b 3.240
_cell_length_c 4.742
_cell_angle_alpha 90.00
_cell_angle_beta 113.78
_cell_angle_gamma 90.00
_space_group_name_H-M_alt 'C 1 2/m 1'
_space_group_IT_number 12
_space_group_name_Hall '-C 2y'
loop_
_atom_site_label
_atom_site_fract_x
_atom_site_fract_y
_atom_site_fract_z
In1 0.000 0.000 0.000
F1 0.000 0.000 0.500
F2 0.124 0.500 0.332
F3 0.124 0.500 0.910
```

Results
crystal system: monoclinic
N(E_F): 3.95 states/eV/cell
energy relative to the elements, uncorrected: -1.26 eV per atom
VASP energy: -3.274 eV/atom
total magnetization: 4.00 μB per cell

***

Look up the VASP energy of the first one. -3.112 eV/atom

***

Look up the N(E_F) of the sixth one. 3.95 states/eV/cell

***

Repeat the fifth record exactly.
Density functional theory data (GGA-PBE) for a relaxed Al2MoOs crystal.

```
data_Al2MoOs
_cell_length_a 2.864
_cell_length_b 4.320
_cell_length_c 5.072
_cell_angle_alpha 90.00
_cell_angle_beta 105.62
_cell_angle_gamma 90.00
_space_group_name_H-M_alt 'P 1 m 1'
_space_group_IT_number 6
_space_group_name_Hall 'P -2y'
loop_
_atom_site_label
_atom_site_fract_x
_atom_site_fract_y
_atom_site_fract_z
Al1 0.000 0.000 0.000
Al2 0.392 0.500 0.795
Mo1 0.672 0.500 0.317
Os1 0.277 0.000 0.531
```

Results
ΔH_f (0 K): -0.1251 eV/atom
crystal system: monoclinic
N(E_F): 1.93 states/eV/cell
VASP energy: -7.512 eV/atom
total magnetization: 0.00 μB per cell

***

Repeat the sixth record exactly.
Density functional theory data (GGA-PBE) for a relaxed InF5 crystal.

```
data_InF5
_cell_length_a 11.475
_cell_length_b 3.240
_cell_length_c 4.742
_cell_angle_alpha 90.00
_cell_angle_beta 113.78
_cell_angle_gamma 90.00
_space_group_name_H-M_alt 'C 1 2/m 1'
_space_group_IT_number 12
_space_group_name_Hall '-C 2y'
loop_
_atom_site_label
_atom_site_fract_x
_atom_site_fract_y
_atom_site_fract_z
In1 0.000 0.000 0.000
F1 0.000 0.000 0.500
F2 0.124 0.500 0.332
F3 0.124 0.500 0.910
```

Results
crystal system: monoclinic
N(E_F): 3.95 states/eV/cell
energy relative to the elements, uncorrected: -1.26 eV per atom
VASP energy: -3.274 eV/atom
total magnetization: 4.00 μB per cell